[1]
A plane-wave DFT calculation with PBE was carried out for HoTlTe2O8 after structural relaxation. Values from VASP.

Properties
Space group: No. 147
Energy, eV/atom: -5.8194
V, Å³/atom: 20.276
Formation energy from raw total energies, meV per atom: -1412

The structure in Quantum ESPRESSO input format:
```
&SYSTEM
  ibrav = 0, nat = 12, ntyp = 4
/
ATOMIC_SPECIES
O 16.00 O.upf
Ho 164.93 Ho.upf
Tl 204.38 Tl.upf
Te 127.60 Te.upf
CELL_PARAMETERS angstrom
-2.876 -2.177 -4.669
4.760 -2.786 2.095
-4.704 -4.338 4.920
ATOMIC_POSITIONS crystal
O 0.106 0.336 0.671
O 0.230 0.894 0.671
Ho 0.000 0.000 0.500
O 0.336 0.230 0.329
O 0.894 0.664 0.329
O 0.770 0.106 0.329
Tl 0.000 0.000 0.000
O 0.333 0.667 0.977
O 0.664 0.770 0.671
Te 0.667 0.333 0.248
Te 0.333 0.667 0.752
O 0.667 0.333 0.023
```

=====

[2]
A plane-wave DFT calculation with PBE was carried out for HoTmTe2O after structural relaxation. Values from VASP.

Properties
Space group: No. 129
Energy, eV/atom: -6.1101
V, Å³/atom: 26.204
Formation energy from raw total energies, meV per atom: -2052

The structure in Quantum ESPRESSO input format:
```
&SYSTEM
  ibrav = 0, nat = 10, ntyp = 4
/
ATOMIC_SPECIES
O 16.00 O.upf
Te 127.60 Te.upf
Tm 168.93 Tm.upf
Ho 164.93 Ho.upf
CELL_PARAMETERS angstrom
4.091 0.000 0.000
0.000 4.091 0.000
0.000 0.000 15.655
ATOMIC_POSITIONS crystal
O 0.500 0.500 0.500
O 0.000 0.000 0.500
Te 0.000 0.500 0.083
Tm 0.000 0.500 0.866
Te 0.500 0.000 0.917
Tm 0.500 0.000 0.134
Ho 0.000 0.500 0.435
Ho 0.500 0.000 0.565
Te 0.000 0.500 0.685
Te 0.500 0.000 0.315
```

=====

[3]
A plane-wave DFT calculation with PBE was carried out for HoZrTeO6 after structural relaxation. Values from VASP.

Properties
Space group: No. 163
Energy, eV/atom: -7.5116
V, Å³/atom: 13.949
Formation energy from raw total energies, meV per atom: -2399

The structure in Quantum ESPRESSO input format:
```
&SYSTEM
  ibrav = 0, nat = 18, ntyp = 4
/
ATOMIC_SPECIES
O 16.00 O.upf
Ho 164.93 Ho.upf
Zr 91.22 Zr.upf
Te 127.60 Te.upf
CELL_PARAMETERS angstrom
-1.691 5.202 -0.477
-0.377 -2.577 4.833
8.810 3.077 2.329
ATOMIC_POSITIONS crystal
O 0.009 0.352 0.635
Ho 0.000 0.000 0.000
O 0.656 0.648 0.135
O 0.009 0.656 0.865
O 0.656 0.009 0.365
O 0.344 0.991 0.635
O 0.352 0.344 0.365
O 0.352 0.009 0.135
Ho 0.000 0.000 0.500
Zr 0.667 0.333 0.750
Te 0.667 0.333 0.250
O 0.344 0.352 0.865
O 0.648 0.656 0.635
Zr 0.333 0.667 0.250
O 0.648 0.991 0.865
O 0.991 0.344 0.135
Te 0.333 0.667 0.750
O 0.991 0.648 0.365
```